First-principles (PBE) data for a relaxed Re2Ni crystal, as listed in the Alexandria database. Values from VASP.

The structure in Quantum ESPRESSO input format:
```
&SYSTEM
  ibrav = 0, nat = 6, ntyp = 2
/
ATOMIC_SPECIES
Re 186.21 Re.upf
Ni 58.69 Ni.upf
ATOMIC_POSITIONS crystal
Re 0.052 0.948 0.750
Re 0.280 0.720 0.250
Re 0.720 0.280 0.750
Re 0.948 0.052 0.250
Ni 0.389 0.611 0.750
Ni 0.611 0.389 0.250
CELL_PARAMETERS angstrom
1.336 -7.124 0.000
1.336 7.124 0.000
0.000 0.000 4.335
```

- total moment (μB/cell) = 0.0
- final energy (eV per atom) = -10.262
- ρ (Mg/m³) = 17.3